Record 1
A relaxed structure of UFeIr. Source: Alexandria via LeMat-Bulk, functional PBE.

a = 2.8101 Å, b = 4.5249 Å, c = 4.5249 Å
α = 120.00°, β = 90.00°, γ = 90.00°
Site moments in Bohr magnetons follow the coordinates.
Positions (direct):
Ir 0.6699 0.3333 0.6667  0.29
U 0.0237 0.0000 0.0000  -1.89
Fe 0.3065 0.6667 0.3333  2.20



Record 2
A relaxed structure of UFeIr. Source: Alexandria via LeMat-Bulk, functional PBE.

a = 3.7403 Å, b = 3.7403 Å, c = 4.6036 Å
α = 113.97°, β = 113.97°, γ = 90.00°
Positions (direct):
Ir 0.2875 0.2875 0.5751
U 0.6419 0.6419 0.2838
Fe 0.9206 0.9206 0.8412



Record 3
A relaxed structure of U2FeIr9. Source: Alexandria via LeMat-Bulk, functional PBE.

a = 4.0024 Å, b = 4.0024 Å, c = 11.8655 Å
α = 90.00°, β = 90.00°, γ = 90.00°
Site moments in Bohr magnetons follow the coordinates.
Positions (direct):
U 0.0000 0.0000 0.3258  0.15
U 0.0000 0.0000 0.6742  0.15
Fe 0.0000 0.0000 0.0000  3.16
Ir 0.5000 0.5000 0.0000  0.19
Ir 0.5000 0.5000 0.3293  0.00
Ir 0.5000 0.5000 0.6707  0.00
Ir 0.5000 0.0000 0.1572  0.12
Ir 0.5000 0.0000 0.5000  -0.02
Ir 0.5000 0.0000 0.8428  0.12
Ir 0.0000 0.5000 0.1572  0.12
Ir 0.0000 0.5000 0.5000  -0.02
Ir 0.0000 0.5000 0.8428  0.12



Record 4
A relaxed structure of UFeIr2. Source: Alexandria via LeMat-Bulk, functional PBE.

a = 4.6151 Å, b = 4.6151 Å, c = 4.5714 Å
α = 59.68°, β = 59.68°, γ = 60.00°
Site moments in Bohr magnetons follow the coordinates.
Positions (direct):
Ir 0.7590 0.7590 0.7231  0.29
Ir 0.2410 0.2410 0.2769  0.29
U 0.5000 0.5000 0.5000  -1.41
Fe 0.0000 0.0000 0.0000  3.01



Record 5
A relaxed structure of UFeIr. Source: Alexandria via LeMat-Bulk, functional PBE.

a = 3.7012 Å, b = 5.6516 Å, c = 5.6433 Å
α = 59.95°, β = 81.35°, γ = 90.01°
Positions (direct):
Fe 0.4409 0.3687 0.2625
Fe 0.5591 0.6313 0.7375
Ir 0.0000 0.2508 0.0000
Ir 0.0000 0.7492 0.0000
U 0.6586 0.1864 0.6271
U 0.3414 0.8136 0.3729



Record 6
A relaxed structure of VFe2Ir3. Source: Alexandria via LeMat-Bulk, functional PBE.

a = 3.8391 Å, b = 6.0809 Å, c = 7.2861 Å
α = 90.00°, β = 90.00°, γ = 71.60°
Site moments in Bohr magnetons follow the coordinates.
Positions (direct):
V 0.3448 0.3105 0.0000  -0.24
V 0.6552 0.6895 0.0000  -0.24
Fe 0.0000 0.0000 0.0000  1.38
Fe 0.0000 0.0000 0.5000  2.56
Fe 0.3292 0.3417 0.5000  2.71
Fe 0.6708 0.6583 0.5000  2.71
Ir 0.8336 0.3328 0.7578  0.09
Ir 0.5000 0.0000 0.2526  0.10
Ir 0.1664 0.6672 0.2422  0.09
Ir 0.8336 0.3328 0.2422  0.09
Ir 0.1664 0.6672 0.7578  0.09
Ir 0.5000 0.0000 0.7474  0.10



Record 7
A relaxed structure of V2FeIr2. Source: Alexandria via LeMat-Bulk, functional PBE.

a = 4.6959 Å, b = 5.3731 Å, c = 6.5341 Å
α = 114.28°, β = 111.06°, γ = 90.00°
Positions (direct):
V 0.3255 0.5082 0.6510
V 0.6745 0.4918 0.3490
V 0.1745 0.8572 0.3490
V 0.8255 0.1428 0.6510
Fe 0.7500 0.5000 0.0000
Fe 0.2500 0.5000 0.0000
Ir 0.8968 0.7430 0.7936
Ir 0.1032 0.2570 0.2064
Ir 0.6032 0.9494 0.2064
Ir 0.3968 0.0506 0.7936

Calculated values
**Energy above the lowest structure with this stoichiometry**: 0.0 kJ/mol of atoms



Record 8
A relaxed structure of VFe2Ir. Source: Alexandria via LeMat-Bulk, functional PBE.

a = 2.9653 Å, b = 2.9653 Å, c = 5.8005 Å
α = 90.00°, β = 90.00°, γ = 90.00°
Site moments in Bohr magnetons follow the coordinates.
Positions (direct):
Ir 0.5000 0.5000 0.5000  0.54
Fe 0.0000 0.0000 0.7707  2.25
Fe 0.0000 0.0000 0.2293  2.25
V 0.5000 0.5000 0.0000  -1.01

Calculated values
**Energy above the lowest structure with this stoichiometry**: 14.4 kJ/mol of atoms



Record 9
A relaxed structure of V5FeIr4. Source: Alexandria via LeMat-Bulk, functional PBE.

a = 2.7533 Å, b = 2.7533 Å, c = 17.7907 Å
α = 90.00°, β = 90.00°, γ = 90.00°
Positions (direct):
V 0.5000 0.5000 0.0867
V 0.5000 0.5000 0.2933
V 0.5000 0.5000 0.5000
V 0.5000 0.5000 0.7067
V 0.5000 0.5000 0.9133
Fe 0.0000 0.0000 0.0000
Ir 0.0000 0.0000 0.1883
Ir 0.0000 0.0000 0.3969
Ir 0.0000 0.0000 0.6031
Ir 0.0000 0.0000 0.8117



Record 10
A relaxed structure of V2Fe2Ir. Source: Alexandria via LeMat-Bulk, functional PBE.

a = 4.4581 Å, b = 2.7086 Å, c = 5.7401 Å
α = 103.67°, β = 94.20°, γ = 107.71°
Site moments in Bohr magnetons follow the coordinates.
Positions (direct):
V 0.4050 0.5862 0.7676  -0.51
V 0.5950 0.4138 0.2324  -0.51
Fe 0.8078 0.2029 0.6009  1.50
Fe 0.1922 0.7971 0.3991  1.50
Ir 0.0000 0.0000 0.0000  0.03

Calculated values
**Energy above the lowest structure with this stoichiometry**: 0.0 kJ/mol of atoms



Record 11
A relaxed structure of VFe2Ir. Source: Alexandria via LeMat-Bulk, functional PBE.

a = 3.7137 Å, b = 3.6774 Å, c = 3.6774 Å
α = 90.00°, β = 90.00°, γ = 90.00°
Site moments in Bohr magnetons follow the coordinates.
Positions (direct):
Ir 0.5000 0.0000 0.0000  0.14
Fe 0.0000 0.0000 0.5000  1.90
Fe 0.0000 0.5000 0.0000  1.90
V 0.5000 0.5000 0.5000  -0.98

Calculated values
**Energy above the lowest structure with this stoichiometry**: 0.0 kJ/mol of atoms



Record 12
A relaxed structure of V2FeIr. Source: Alexandria via LeMat-Bulk, functional PBE.

a = 2.7619 Å, b = 4.4660 Å, c = 8.8669 Å
α = 105.35°, β = 98.93°, γ = 90.16°
Positions (direct):
V 0.8288 0.6700 0.6483
V 0.1712 0.3299 0.3517
V 0.0610 0.8127 0.1159
V 0.9390 0.1873 0.8841
Fe 0.5545 0.3215 0.1119
Fe 0.4455 0.6785 0.8881
Ir 0.3154 0.1772 0.6280
Ir 0.6846 0.8228 0.3720



Number 1: ΔH_f (0 K) -0.124 eV/f.u., magnetic moment 0.5 μB/f.u.. Number 2: ΔH_f (0 K) -0.239 eV/f.u., magnetic moment 0.0 μB/f.u.. Number 3: ΔH_f (0 K) -4.938 eV/f.u., magnetic moment 4.1 μB/f.u.. Number 4: ΔH_f (0 K) -0.483 eV/f.u., magnetic moment 2.1 μB/f.u.. Number 5: ΔH_f (0 K) -1.160 eV/f.u., magnetic moment 0.0 μB/f.u.. Number 6: ΔH_f (0 K) -1.443 eV/f.u., magnetic moment 4.7 μB/f.u.. Number 7: ΔH_f (0 K) -1.184 eV/f.u., magnetic moment 0.0 μB/f.u.. Number 8: ΔH_f (0 K) -0.340 eV/f.u., magnetic moment 3.9 μB/f.u.. Number 9: ΔH_f (0 K) -4.116 eV/f.u., magnetic moment 0.0 μB/f.u.. Number 10: ΔH_f (0 K) -0.709 eV/f.u., magnetic moment 1.9 μB/f.u.. Number 11: ΔH_f (0 K) -0.938 eV/f.u., magnetic moment 2.9 μB/f.u.. Number 12: ΔH_f (0 K) -0.859 eV/f.u., magnetic moment 0.0 μB/f.u..